First-principles (PBE) data for an optimized crystal structure of CePm2ErSe5, as listed in Alexandria via LeMat-Bulk.

abc: 5.117 5.117 11.017
angles: 90.00 90.00 90.00
Element x y z (fractional)
Ce: 0.000 0.000 0.000
Pm: 0.500 0.500 0.334
Pm: 0.500 0.500 0.666
Er: 0.000 0.000 0.500
Se: 0.000 0.000 0.253
Se: 0.000 0.000 0.747
Se: 0.000 0.500 0.500
Se: 0.500 0.000 0.500
Se: 0.500 0.500 0.000

## Properties
As for the space group: P4/mmm.


First-principles (PBE) data for an optimized crystal structure of Ce2Pm3ErSe6, as listed in Alexandria via LeMat-Bulk.

abc: 7.223 7.223 7.236
angles: 99.61 99.61 120.08
Element x y z (fractional)
Ce: 0.166 0.834 0.000
Ce: 0.834 0.166 0.000
Pm: 0.000 0.000 0.500
Pm: 0.331 0.669 0.500
Pm: 0.669 0.331 0.500
Er: 0.500 0.500 0.000
Se: 0.093 0.419 0.756
Se: 0.257 0.257 0.247
Se: 0.419 0.093 0.756
Se: 0.581 0.907 0.244
Se: 0.743 0.743 0.753
Se: 0.907 0.581 0.244

## Properties
As for the space group: C2/m.


First-principles (PBE) data for an optimized crystal structure of Ce4Pm3ErSe8, as listed in Alexandria via LeMat-Bulk.

abc: 8.379 8.379 8.379
angles: 59.75 59.75 59.75
Element x y z (fractional)
Ce: 0.000 0.000 0.000
Ce: 0.000 0.500 0.500
Ce: 0.500 0.000 0.500
Ce: 0.500 0.500 0.000
Pm: 0.000 0.000 0.500
Pm: 0.000 0.500 0.000
Pm: 0.500 0.000 0.000
Er: 0.500 0.500 0.500
Se: 0.250 0.250 0.250
Se: 0.255 0.744 0.744
Se: 0.256 0.256 0.745
Se: 0.256 0.745 0.256
Se: 0.744 0.255 0.744
Se: 0.744 0.744 0.255
Se: 0.745 0.256 0.256
Se: 0.750 0.750 0.750

## Properties
As for the space group: R-3m.


First-principles (PBE) data for an optimized crystal structure of CePmErSe3, as listed in Alexandria via LeMat-Bulk.

abc: 8.027 4.060 10.401
angles: 90.00 102.96 90.00
Element x y z (fractional)
Ce: 0.176 0.250 0.116
Ce: 0.824 0.750 0.884
Pm: 0.181 0.250 0.704
Pm: 0.819 0.750 0.296
Er: 0.335 0.750 0.402
Er: 0.665 0.250 0.598
Se: 0.093 0.250 0.393
Se: 0.211 0.750 0.922
Se: 0.465 0.750 0.682
Se: 0.535 0.250 0.318
Se: 0.789 0.250 0.078
Se: 0.907 0.750 0.607

## Properties
As for the space group: P2_1/m.


First-principles (PBE) data for an optimized crystal structure of Ce3PmEr2Se6, as listed in Alexandria via LeMat-Bulk.

abc: 7.145 7.145 7.252
angles: 99.46 99.46 120.04
Element x y z (fractional)
Ce: 0.000 0.000 0.000
Ce: 0.338 0.662 0.000
Ce: 0.662 0.338 0.000
Pm: 0.500 0.500 0.500
Er: 0.167 0.833 0.500
Er: 0.833 0.167 0.500
Se: 0.078 0.420 0.259
Se: 0.236 0.236 0.736
Se: 0.420 0.078 0.259
Se: 0.580 0.922 0.741
Se: 0.764 0.764 0.264
Se: 0.922 0.580 0.741

## Properties
As for the space group: C2/m.


First-principles (PBE) data for an optimized crystal structure of CePm2Er3Se6, as listed in Alexandria via LeMat-Bulk.

abc: 9.259 9.259 8.348
angles: 104.48 104.48 25.38
Element x y z (fractional)
Ce: 0.000 0.000 0.000
Pm: 0.334 0.334 0.669
Pm: 0.666 0.666 0.331
Er: 0.000 0.000 0.500
Er: 0.333 0.333 0.166
Er: 0.667 0.667 0.834
Se: 0.164 0.164 0.592
Se: 0.170 0.170 0.075
Se: 0.496 0.496 0.259
Se: 0.504 0.504 0.741
Se: 0.830 0.830 0.925
Se: 0.836 0.836 0.408

## Properties
As for the space group: C2/m.


First-principles (PBE) data for an optimized crystal structure of Ce2PmErSe5, as listed in Alexandria via LeMat-Bulk.

abc: 5.094 5.094 10.922
angles: 90.00 90.00 90.00
Element x y z (fractional)
Ce: 0.000 0.000 0.193
Ce: 0.000 0.000 0.807
Pm: 0.500 0.500 0.500
Er: 0.500 0.500 0.000
Se: 0.000 0.000 0.500
Se: 0.000 0.500 0.000
Se: 0.500 0.000 0.000
Se: 0.500 0.500 0.251
Se: 0.500 0.500 0.749

## Properties
As for the space group: P4/mmm.


First-principles (PBE) data for an optimized crystal structure of Ce2PmErSe4, as listed in Alexandria via LeMat-Bulk.

abc: 7.192 4.128 7.266
angles: 90.00 109.03 90.00
Element x y z (fractional)
Ce: 0.000 0.000 0.000
Ce: 0.500 0.500 0.000
Pm: 0.000 0.500 0.500
Er: 0.500 0.000 0.500
Se: 0.255 0.000 0.744
Se: 0.261 0.500 0.261
Se: 0.739 0.500 0.739
Se: 0.745 0.000 0.256

## Properties
As for the space group: P2/m.


First-principles (PBE) data for an optimized crystal structure of CePm4Er3Se8, as listed in Alexandria via LeMat-Bulk.

abc: 8.303 8.303 8.303
angles: 59.55 59.55 59.55
Element x y z (fractional)
Ce: 0.000 0.000 0.000
Pm: 0.000 0.000 0.500
Pm: 0.000 0.500 0.000
Pm: 0.500 0.000 0.000
Pm: 0.500 0.500 0.500
Er: 0.000 0.500 0.500
Er: 0.500 0.000 0.500
Er: 0.500 0.500 0.000
Se: 0.250 0.250 0.740
Se: 0.250 0.740 0.250
Se: 0.255 0.255 0.255
Se: 0.260 0.750 0.750
Se: 0.740 0.250 0.250
Se: 0.745 0.745 0.745
Se: 0.750 0.260 0.750
Se: 0.750 0.750 0.260

## Properties
As for the space group: R-3m.


First-principles (PBE) data for an optimized crystal structure of Ce2PmEr3Se6, as listed in Alexandria via LeMat-Bulk.

abc: 7.070 7.070 7.249
angles: 99.35 99.35 120.08
Element x y z (fractional)
Ce: 0.167 0.833 0.000
Ce: 0.833 0.167 0.000
Pm: 0.500 0.500 0.000
Er: 0.000 0.000 0.500
Er: 0.336 0.664 0.500
Er: 0.664 0.336 0.500
Se: 0.078 0.411 0.734
Se: 0.254 0.254 0.264
Se: 0.411 0.078 0.734
Se: 0.589 0.922 0.266
Se: 0.746 0.746 0.736
Se: 0.922 0.589 0.266

## Properties
As for the space group: C2/m.


no.,raw formation energy (meV/atom)
1,-1275.3
2,-1811.8
3,-1816.0
4,-1576.7
5,-1792.2
6,-1771.9
7,-1332.0
8,-1799.5
9,-1783.1
10,-1774.7